1.
## Y4ErCd3 (GGA-PBE)

Data for a relaxed structure of Y4ErCd3.

Cell lengths 5.3509, 5.3509, 9.4727 Å; angles 73.59, 73.59, 60.00 degrees
Atoms (fractional coordinates):
Cd1 0.2597 0.2597 0.2208
Cd2 0.7403 0.7403 0.7792
Cd3 0.5000 0.5000 0.5000
Y1 0.6153 0.6153 0.1542
Y2 0.8701 0.8701 0.3897
Y3 0.1299 0.1299 0.6103
Y4 0.3847 0.3847 0.8458
Er1 0.0000 0.0000 0.0000

Total DFT energy (no corrections) (eV per atom): -4.34

---

2.
## Y14ErCd (GGA-PBE)

Data for a relaxed structure of Y14ErCd.

Cell lengths 7.1994, 7.1994, 11.2872 Å; angles 90.00, 90.00, 119.94 degrees
Atoms (fractional coordinates):
Y1 0.1668 0.8332 0.2539
Y2 0.8296 0.6656 0.5000
Y3 0.1649 0.3333 0.7578
Y4 0.8334 0.1666 0.5000
Y5 0.6667 0.8351 0.2422
Y6 0.1649 0.3333 0.2422
Y7 0.6667 0.8351 0.7578
Y8 0.3350 0.6650 0.5000
Y9 0.1668 0.8332 0.7461
Y10 0.3344 0.1704 0.5000
Y11 0.3301 0.1544 0.0000
Y12 0.6670 0.3330 0.2451
Y13 0.8456 0.6699 0.0000
Y14 0.6670 0.3330 0.7549
Er1 0.3279 0.6721 0.0000
Cd1 0.8330 0.1670 0.0000

Total DFT energy (no corrections) (eV per atom): -6.02

---

3.
## Y3ErCd (GGA-PBE)

Data for a relaxed structure of Y3ErCd.

Cell lengths 3.7469, 9.1502, 9.5520 Å; angles 90.00, 90.00, 101.82 degrees
Each line ends with the local moment (μB).
Atoms (fractional coordinates):
Cd1 0.3372 0.1742 0.7500  0.00
Cd2 0.6628 0.8258 0.2500  0.00
Er1 0.4868 0.4734 0.2500  0.19
Er2 0.5132 0.5266 0.7500  0.19
Y1 0.7035 0.9069 0.7500  0.06
Y2 0.2965 0.0931 0.2500  0.06
Y3 0.1028 0.7057 0.4934  0.10
Y4 0.1028 0.7057 0.0066  0.10
Y5 0.8972 0.2943 0.5066  0.10
Y6 0.8972 0.2943 0.9934  0.10

ΔE to the lowest computed polymorph (eV per atom): 0.191
Total DFT energy (no corrections) (eV per atom): -4.92

---

4.
## YEr3Cd (GGA-PBE)

Data for a relaxed structure of YEr3Cd.

Cell lengths 3.6138, 6.7066, 12.5430 Å; angles 85.60, 90.00, 74.37 degrees
Each line ends with the local moment (μB).
Atoms (fractional coordinates):
Er1 0.6348 0.7301 0.9811  0.10
Er2 0.9668 0.0667 0.8116  0.15
Er3 0.8545 0.2908 0.5528  0.05
Er4 0.3652 0.2699 0.0189  0.10
Er5 0.1455 0.7092 0.4472  0.05
Er6 0.0332 0.9333 0.1884  0.15
Cd1 0.5575 0.8849 0.6269  0.00
Cd2 0.4425 0.1151 0.3731  0.00
Y1 0.2328 0.5342 0.7537  0.05
Y2 0.7672 0.4658 0.2463  0.05

ΔE to the lowest computed polymorph (eV per atom): 0.000
Total DFT energy (no corrections) (eV per atom): -4.33

---

5.
## YErCd2 (GGA-PBE)

Data for a relaxed structure of YErCd2.

Cell lengths 3.7577, 5.2595, 5.2595 Å; angles 90.00, 90.00, 90.00 degrees
Atoms (fractional coordinates):
Cd1 0.0000 0.0000 0.5000
Cd2 0.0000 0.5000 0.0000
Er1 0.5000 0.5000 0.5000
Y1 0.5000 0.0000 0.0000

ΔE to the lowest computed polymorph (eV per atom): 0.002
Total DFT energy (no corrections) (eV per atom): -3.55

---

6.
## Y5ErCd6 (GGA-PBE)

Data for a relaxed structure of Y5ErCd6.

Cell lengths 5.2854, 7.4986, 8.3752 Å; angles 90.00, 71.61, 90.00 degrees
Atoms (fractional coordinates):
Cd1 0.4999 0.7516 0.0000
Cd2 0.8340 0.2484 0.3320
Cd3 0.5001 0.2484 0.0000
Cd4 0.1659 0.2484 0.6680
Cd5 0.8341 0.7516 0.3320
Cd6 0.1660 0.7516 0.6680
Y1 0.6672 0.5000 0.6656
Y2 0.3338 0.0000 0.3323
Y3 0.3328 0.5000 0.3344
Y4 0.0000 0.5000 0.0000
Y5 0.6662 0.0000 0.6677
Er1 0.0000 0.0000 0.0000

Total DFT energy (no corrections) (eV per atom): -3.88

---

7.
## Y4ErCd (GGA-PBE)

Data for a relaxed structure of Y4ErCd.

Cell lengths 6.3333, 8.9577, 8.3052 Å; angles 113.09, 99.98, 112.68 degrees
Atoms (fractional coordinates):
Cd1 0.2502 0.0002 0.0003
Cd2 0.7498 0.9998 0.9997
Y1 0.3649 0.9083 0.6191
Y2 0.0423 0.1658 0.7629
Y3 0.7542 0.7107 0.6191
Y4 0.6351 0.0917 0.3809
Y5 0.2458 0.2893 0.3809
Y6 0.9577 0.8342 0.2371
Y7 0.2206 0.5971 0.7629
Y8 0.7794 0.4029 0.2371
Er1 0.6579 0.4079 0.8159
Er2 0.3421 0.5921 0.1841

ΔE to the lowest computed polymorph (eV per atom): 0.098
Total DFT energy (no corrections) (eV per atom): -5.22

---

8.
## Y3Er3Cd2 (GGA-PBE)

Data for a relaxed structure of Y3Er3Cd2.

Cell lengths 5.1725, 6.3576, 15.8117 Å; angles 90.00, 90.00, 114.00 degrees
Atoms (fractional coordinates):
Y1 0.7296 0.4591 0.2500
Y2 0.9571 0.9141 0.1055
Y3 0.0429 0.0859 0.8945
Y4 0.2705 0.5409 0.7500
Y5 0.0429 0.0859 0.6055
Y6 0.9571 0.9141 0.3945
Cd1 0.2292 0.4584 0.3657
Cd2 0.7708 0.5416 0.6343
Cd3 0.7708 0.5416 0.8657
Cd4 0.2292 0.4584 0.1343
Er1 0.6449 0.2898 0.0333
Er2 0.6449 0.2898 0.4667
Er3 0.5545 0.1091 0.7500
Er4 0.3551 0.7102 0.5333
Er5 0.3551 0.7102 0.9667
Er6 0.4455 0.8909 0.2500

Total DFT energy (no corrections) (eV per atom): -4.43

---

9.
## Y2Er3Cd3 (GGA-PBE)

Data for a relaxed structure of Y2Er3Cd3.

Cell lengths 3.7374, 5.3029, 11.4906 Å; angles 103.34, 99.36, 90.00 degrees
Atoms (fractional coordinates):
Er1 0.3777 0.3777 0.7555
Er2 0.6223 0.6223 0.2445
Er3 0.5000 0.0000 0.0000
Cd1 0.0000 0.5000 0.0000
Cd2 0.8838 0.8838 0.7676
Cd3 0.1162 0.1162 0.2324
Y1 0.7329 0.2329 0.4658
Y2 0.2671 0.7671 0.5342

Total DFT energy (no corrections) (eV per atom): -3.90

---

10.
## Er3ZnCd2 (GGA-PBE)

Data for a relaxed structure of Er3ZnCd2.

Cell lengths 3.6240, 3.6240, 11.1430 Å; angles 90.00, 90.00, 90.00 degrees
Atoms (fractional coordinates):
Cd1 0.5000 0.5000 0.1728
Cd2 0.5000 0.5000 0.8272
Er1 0.0000 0.0000 0.0000
Er2 0.0000 0.0000 0.6528
Er3 0.0000 0.0000 0.3472
Zn1 0.5000 0.5000 0.5000

ΔE to the lowest computed polymorph (eV per atom): 0.000
Total DFT energy (no corrections) (eV per atom): -3.12

---

11.
## ErZn3Cd (GGA-PBE)

Data for a relaxed structure of ErZn3Cd.

Cell lengths 4.4163, 3.5022, 12.8102 Å; angles 97.86, 90.00, 90.00 degrees
Atoms (fractional coordinates):
Er1 0.7500 0.9255 0.8509
Er2 0.2500 0.0745 0.1491
Zn1 0.2500 0.6762 0.3524
Zn2 0.2500 0.3757 0.7515
Zn3 0.7500 0.5243 0.0486
Zn4 0.7500 0.6243 0.2485
Zn5 0.2500 0.4757 0.9514
Zn6 0.7500 0.3238 0.6476
Cd1 0.2500 0.7849 0.5698
Cd2 0.7500 0.2151 0.4302

Total DFT energy (no corrections) (eV per atom): -2.07

---

12.
## Er4Zn2Cd (GGA-PBE)

Data for a relaxed structure of Er4Zn2Cd.

Cell lengths 5.0331, 5.0331, 8.5435 Å; angles 72.87, 72.87, 60.00 degrees
Atoms (fractional coordinates):
Er1 0.3847 0.3847 0.8459
Er2 0.6153 0.6153 0.1541
Er3 0.8686 0.8686 0.3942
Er4 0.1314 0.1314 0.6058
Cd1 0.0000 0.0000 0.0000
Zn1 0.2541 0.2541 0.2378
Zn2 0.7459 0.7459 0.7622

ΔE to the lowest computed polymorph (eV per atom): 0.000
Total DFT energy (no corrections) (eV per atom): -3.28

---

Number 1: E_form -0.197 eV/atom, volume 27.76 Å³/atom, density 6.4 g/cm³. Number 2: E_form -0.020 eV/atom, volume 31.69 Å³/atom, density 5.0 g/cm³. Number 3: E_form 0.051 eV/atom, volume 32.05 Å³/atom, density 5.7 g/cm³. Number 4: E_form -0.112 eV/atom, volume 29.18 Å³/atom, density 8.0 g/cm³. Number 5: E_form -0.336 eV/atom, volume 25.99 Å³/atom, density 7.7 g/cm³. Number 6: E_form -0.349 eV/atom, volume 26.25 Å³/atom, density 6.8 g/cm³. Number 7: E_form 0.001 eV/atom, volume 30.79 Å³/atom, density 5.7 g/cm³. Number 8: E_form -0.062 eV/atom, volume 29.69 Å³/atom, density 6.9 g/cm³. Number 9: E_form -0.233 eV/atom, volume 27.31 Å³/atom, density 7.7 g/cm³. Number 10: E_form -0.324 eV/atom, volume 24.39 Å³/atom, density 9.0 g/cm³. Number 11: E_form -0.215 eV/atom, volume 19.63 Å³/atom, density 8.1 g/cm³. Number 12: E_form -0.174 eV/atom, volume 25.18 Å³/atom, density 8.6 g/cm³.